No. 1
A plane-wave DFT calculation with PBE was carried out for a relaxed La2CeP crystal.

* ΔH_f (0 K): -2.3 eV/f.u.
* E: -5.876 eV per atom

```
La2CeP
1.0
1.9892 1.1484 9.5560
-1.9892 1.1484 9.5560
0.0000 -2.2969 9.5560
La Ce P
2 1 1
Direct
0.0000 0.0000 0.0000
0.2100 0.2100 0.2100
0.4385 0.4385 0.4385
0.6052 0.6052 0.6052
```

---

No. 2
A plane-wave DFT calculation with PBE was carried out for a relaxed DyH3Os crystal.

* E: -5.446 eV per atom

```
DyH3Os
1.0
3.6661 0.0000 0.0000
0.0000 3.6661 0.0000
0.0000 0.0000 3.6661
Dy H Os
1 3 1
Direct
0.0000 0.0000 0.0000
0.0000 0.5000 0.5000
0.5000 0.0000 0.5000
0.5000 0.5000 0.0000
0.5000 0.5000 0.5000
```

---

No. 3
A plane-wave DFT calculation with PBE was carried out for a relaxed CdAgSF crystal.

* E: -3.200 eV per atom
* formation energy (no corrections): -0.759 eV/atom

```
CdAgSF
1.0
2.2195 1.2814 9.3734
-2.2195 1.2814 9.3734
0.0000 -2.5629 9.3734
Cd Ag S F
2 2 2 2
Direct
0.2135 0.2135 0.2135
0.7865 0.7865 0.7865
0.3827 0.3827 0.3827
0.6173 0.6173 0.6173
0.1142 0.1142 0.1142
0.8858 0.8858 0.8858
0.2979 0.2979 0.2979
0.7021 0.7021 0.7021
```